The following is a DFT calculation (GGA-PBE) of a relaxed structure of PaAgP2.

- Crystal system: trigonal
- Formation energy: -0.424 eV/atom

Lattice parameters (Å, degrees): 4.2263 4.2263 21.9535 90.00 90.00 120.00
Space group R-3m (No. 166, hexagonal axes)
One atom of each set of equivalent atoms:
Pa 0.0000 0.0000 0.0000 (multiplicity 3)
Ag 0.0000 0.0000 0.5000 (multiplicity 3)
P 0.0000 0.0000 0.3913 (multiplicity 6)



The following is a DFT calculation (GGA-PBE) of a relaxed structure of PaAgP2.

- Crystal system: tetragonal
- Formation energy: -0.612 eV/atom

Lattice parameters (Å, degrees): 4.496 4.496 3.610 90.00 90.00 90.00
Space group P4/mmm (No. 123)
One atom of each set of equivalent atoms:
Pa 0.000 0.000 0.000 (multiplicity 1)
Ag 0.500 0.500 0.000 (multiplicity 1)
P 0.000 0.500 0.500 (multiplicity 2)



The following is a DFT calculation (GGA-PBE) of a relaxed structure of PaAgP.

- Crystal system: orthorhombic
- Formation energy: 0.069 eV/atom

Lattice parameters (Å, degrees): 3.602 10.928 17.733 90.00 90.00 90.00
Space group Fmmm (No. 69)
One atom of each set of equivalent atoms:
Pa 0.000 0.133 0.000 (multiplicity 8)
Ag 0.000 0.000 0.191 (multiplicity 8)
P 0.000 0.000 0.409 (multiplicity 8)



The following is a DFT calculation (GGA-PBE) of a relaxed structure of Pa2AgP.

- Crystal system: trigonal
- Formation energy: -0.038 eV/atom

Lattice parameters (Å, degrees): 3.3595 3.3595 29.8372 90.00 90.00 120.00
Space group R-3m (No. 166, hexagonal axes)
One atom of each set of equivalent atoms:
Pa 0.0000 0.0000 0.1032 (multiplicity 6)
Ag 0.0000 0.0000 0.0000 (multiplicity 3)
P 0.0000 0.0000 0.5000 (multiplicity 3)



The following is a DFT calculation (GGA-PBE) of a relaxed structure of Sr4Pa3AgP8.

- Crystal system: trigonal
- Formation energy: -1.006 eV/atom

Lattice parameters (Å, degrees): 8.3111 8.3111 20.5949 90.00 90.00 120.00
Space group R-3m (No. 166, hexagonal axes)
One atom of each set of equivalent atoms:
Sr 0.0000 0.0000 0.0000 (multiplicity 3)
Sr 0.0000 0.5000 0.0000 (multiplicity 9)
Pa 0.0000 0.5000 0.5000 (multiplicity 9)
Ag 0.0000 0.0000 0.5000 (multiplicity 3)
P 0.0000 0.0000 0.2390 (multiplicity 6)
P 0.0156 0.5078 0.7629 (multiplicity 18)



The following is a DFT calculation (GGA-PBE) of a relaxed structure of Ag2PPb.

- Crystal system: tetragonal
- Formation energy: 0.225 eV/atom

Lattice parameters (Å, degrees): 4.854 4.854 16.360 90.00 90.00 90.00
Space group I-42d (No. 122)
One atom of each set of equivalent atoms:
Ag 0.140 0.250 0.125 (multiplicity 8)
P 0.000 0.000 0.000 (multiplicity 4)
Pb 0.000 0.000 0.500 (multiplicity 4)



The following is a DFT calculation (GGA-PBE) of a relaxed structure of Ag2PPb.

- Crystal system: cubic
- Formation energy: 0.296 eV/atom

Lattice parameters (Å, degrees): 6.926 6.926 6.926 90.00 90.00 90.00
Space group Fm-3m (No. 225)
One atom of each set of equivalent atoms:
Ag 0.250 0.250 0.250 (multiplicity 8)
P 0.000 0.000 0.000 (multiplicity 4)
Pb 0.000 0.000 0.500 (multiplicity 4)



The following is a DFT calculation (GGA-PBE) of a relaxed structure of Ag2PPb.

- Crystal system: orthorhombic
- Formation energy: 0.269 eV/atom

Lattice parameters (Å, degrees): 3.164 3.663 7.123 90.00 90.00 90.00
Space group Pmmm (No. 47)
One atom of each set of equivalent atoms:
Ag 0.000 0.000 0.202 (multiplicity 2)
P 0.500 0.500 0.000 (multiplicity 1)
Pb 0.500 0.500 0.500 (multiplicity 1)